# 1
# ErCuI GGA-PBE optimized geometry
data_ErCuI
_chemical_formula_sum 'Er4 Cu4 I4'
_space_group_name_H-M_alt 'C m c m'
_space_group_IT_number 63
_space_group_name_Hall '-C 2c 2'
_cell_length_a 3.907
_cell_length_b 20.646
_cell_length_c 4.173
_cell_angle_alpha 90.00
_cell_angle_beta 90.00
_cell_angle_gamma 90.00
loop_
_atom_site_label
_atom_site_type_symbol
_atom_site_fract_x
_atom_site_fract_y
_atom_site_fract_z
Er1 Er 0.000 0.069 0.250
Cu1 Cu 0.000 0.471 0.250
I1 I 0.000 0.339 0.250
# E_form (uncorrected)	-1.873	eV per formula unit

***

# 2
# Dy3HoTm5 GGA-PBE optimized geometry
data_Dy3HoTm5
_chemical_formula_sum 'Dy12 Ho4 Tm20'
_space_group_name_H-M_alt 'C 1 2/m 1'
_space_group_IT_number 12
_cell_length_a 15.033
_cell_length_b 11.187
_cell_length_c 9.874
_cell_angle_alpha 90.00
_cell_angle_beta 130.63
_cell_angle_gamma 90.00
loop_
_space_group_symop_operation_xyz
'x,y,z'
'-x,-y,-z'
'-x,y,-z'
'x,-y,z'
'x+1/2,y+1/2,z'
'-x+1/2,-y+1/2,-z'
'-x+1/2,y+1/2,-z'
'x+1/2,-y+1/2,z'
loop_
_atom_site_label
_atom_site_type_symbol
_atom_site_fract_x
_atom_site_fract_y
_atom_site_fract_z
Dy1 Dy 0.000 0.000 0.000
Dy2 Dy 0.000 0.500 0.500
Dy3 Dy 0.010 0.000 0.311
Dy4 Dy 0.023 0.500 0.866
Ho1 Ho 0.249 0.000 0.103
Tm1 Tm 0.000 0.239 0.500
Tm2 Tm 0.153 0.249 0.251
Tm3 Tm 0.219 0.000 0.729
Tm4 Tm 0.222 0.500 0.535
# energy	-3.99	eV per atom

***

# 3
# Fe2HgAs GGA-PBE optimized geometry
data_Fe2HgAs
_chemical_formula_sum 'Fe4 Hg2 As2'
_space_group_name_H-M_alt 'I -4 m 2'
_space_group_IT_number 119
_space_group_name_Hall 'I -4 -2'
_cell_length_a 3.846
_cell_length_b 3.846
_cell_length_c 8.576
_cell_angle_alpha 90.00
_cell_angle_beta 90.00
_cell_angle_gamma 90.00
loop_
_atom_site_label
_atom_site_type_symbol
_atom_site_fract_x
_atom_site_fract_y
_atom_site_fract_z
Fe1 Fe 0.000 0.000 0.000
Fe2 Fe 0.000 0.500 0.250
Hg1 Hg 0.000 0.500 0.750
As1 As 0.000 0.000 0.500
# energy	-5.02	eV per atom

***

# 4
# Nd3NiCl2 GGA-PBE optimized geometry
data_Nd3NiCl2
_chemical_formula_sum 'Nd12 Ni4 Cl8'
_space_group_name_H-M_alt 'C 1 2/m 1'
_space_group_IT_number 12
_cell_length_a 7.208
_cell_length_b 12.434
_cell_length_c 7.389
_cell_angle_alpha 90.00
_cell_angle_beta 108.72
_cell_angle_gamma 90.00
loop_
_space_group_symop_operation_xyz
'x,y,z'
'-x,-y,-z'
'-x,y,-z'
'x,-y,z'
'x+1/2,y+1/2,z'
'-x+1/2,-y+1/2,-z'
'-x+1/2,y+1/2,-z'
'x+1/2,-y+1/2,z'
loop_
_atom_site_label
_atom_site_type_symbol
_atom_site_fract_x
_atom_site_fract_y
_atom_site_fract_z
Nd1 Nd 0.209 0.000 0.211
Nd2 Nd 0.245 0.181 0.784
Ni1 Ni 0.000 0.168 0.000
Cl1 Cl 0.000 0.000 0.500
Cl2 Cl 0.000 0.346 0.500
Cl3 Cl 0.000 0.500 0.000
# E_form (uncorrected)	-6.574	eV per formula unit

***

# 5
# Nb2GaSn GGA-PBE optimized geometry
data_Nb2GaSn
_chemical_formula_sum 'Nb8 Ga4 Sn4'
_space_group_name_H-M_alt 'I -4 2 d'
_space_group_IT_number 122
_space_group_name_Hall 'I -4 2bw'
_cell_length_a 4.000
_cell_length_b 4.000
_cell_length_c 20.186
_cell_angle_alpha 90.00
_cell_angle_beta 90.00
_cell_angle_gamma 90.00
loop_
_atom_site_label
_atom_site_type_symbol
_atom_site_fract_x
_atom_site_fract_y
_atom_site_fract_z
Nb1 Nb 0.243 0.250 0.125
Ga1 Ga 0.000 0.000 0.000
Sn1 Sn 0.000 0.000 0.500
# energy	-6.54	eV per atom

***

# 6
# CsAsBr2 GGA-PBE optimized geometry
data_CsAsBr2
_chemical_formula_sum 'Cs4 As4 Br8'
_space_group_name_H-M_alt 'I -4 2 d'
_space_group_IT_number 122
_space_group_name_Hall 'I -4 2bw'
_cell_length_a 6.541
_cell_length_b 6.541
_cell_length_c 16.949
_cell_angle_alpha 90.00
_cell_angle_beta 90.00
_cell_angle_gamma 90.00
loop_
_atom_site_label
_atom_site_type_symbol
_atom_site_fract_x
_atom_site_fract_y
_atom_site_fract_z
Cs1 Cs 0.000 0.000 0.000
As1 As 0.000 0.000 0.500
Br1 Br 0.121 0.250 0.625
# E_form (uncorrected)	-2.214	eV per formula unit

***

# 7
# SrC6 GGA-PBE optimized geometry
data_SrC6
_chemical_formula_sum 'Sr2 C12'
_space_group_name_H-M_alt 'P 63/m m c'
_space_group_IT_number 194
_space_group_name_Hall '-P 6c 2c'
_cell_length_a 4.3379
_cell_length_b 4.3379
_cell_length_c 9.9899
_cell_angle_alpha 90.00
_cell_angle_beta 90.00
_cell_angle_gamma 120.00
loop_
_atom_site_label
_atom_site_type_symbol
_atom_site_fract_x
_atom_site_fract_y
_atom_site_fract_z
Sr1 Sr 0.3333 0.6667 0.2500
C1 C 0.0000 0.3333 0.0000
# energy	-8.19	eV per atom

***

# 8
# LiBiPb GGA-PBE optimized geometry
data_LiBiPb
_chemical_formula_sum 'Li1 Bi1 Pb1'
_space_group_name_H-M_alt 'P 3 m 1'
_space_group_IT_number 156
_cell_length_a 4.8317
_cell_length_b 4.8317
_cell_length_c 4.1830
_cell_angle_alpha 90.00
_cell_angle_beta 90.00
_cell_angle_gamma 120.00
loop_
_space_group_symop_operation_xyz
'x,y,z'
'-y,x-y,z'
'-x+y,-x,z'
'-y,-x,z'
'-x+y,y,z'
'x,x-y,z'
loop_
_atom_site_label
_atom_site_type_symbol
_atom_site_fract_x
_atom_site_fract_y
_atom_site_fract_z
Li1 Li 0.0000 0.0000 0.0000
Bi1 Bi 0.3333 0.6667 0.0032
Pb1 Pb 0.6667 0.3333 0.5032
# energy	-3.31	eV per atom